! LiGdGe (meta-GGA SCAN, single point on PBEsol structure); values from VASP
! Energy relative to the elements in eV per atom: -0.717
&SYSTEM
  ibrav = 0, nat = 9, ntyp = 3
/
ATOMIC_SPECIES
Li 6.94 Li.upf
Gd 157.25 Gd.upf
Ge 72.64 Ge.upf
CELL_PARAMETERS angstrom
-3.078 -2.010 2.152
0.020 -5.149 -4.782
4.197 -0.410 5.622
ATOMIC_POSITIONS angstrom
Li -0.562 -1.101 2.384
Li -1.534 -2.203 -0.037
Li 1.696 -5.270 1.720
Gd 0.011 -2.961 -2.750
Gd 1.792 -2.362 0.357
Gd 2.413 -0.236 3.232
Ge 1.265 -2.995 3.229
Ge 0.000 0.000 0.000
Ge -0.127 -4.574 -0.239

! Ta2SbIr (meta-GGA SCAN, single point on PBEsol structure); values from VASP
! Calculated total energy in eV/cell: -241.27
&SYSTEM
  ibrav = 0, nat = 4, ntyp = 3
/
ATOMIC_SPECIES
Ir 192.22 Ir.upf
Ta 180.95 Ta.upf
Sb 121.76 Sb.upf
CELL_PARAMETERS angstrom
2.954 0.000 0.000
0.000 4.856 0.000
0.000 0.000 4.856
ATOMIC_POSITIONS angstrom
Ir 1.477 2.428 2.428
Ta 0.000 2.428 0.000
Ta 0.000 0.000 2.428
Sb 1.477 0.000 0.000

! SrSi2H (meta-GGA SCAN, single point on PBEsol structure); values from VASP
! Calculated total energy in eV/cell: -89.78
&SYSTEM
  ibrav = 0, nat = 8, ntyp = 3
/
ATOMIC_SPECIES
Si 28.09 Si.upf
H 1.01 H.upf
Sr 87.62 Sr.upf
CELL_PARAMETERS angstrom
-4.035 3.212 2.620
-5.513 -1.752 0.045
-2.411 -1.838 4.927
ATOMIC_POSITIONS angstrom
Si -2.700 -0.966 3.412
Si -4.251 -0.923 0.971
Si -3.512 1.559 2.259
Si -1.495 -0.047 0.949
H -2.990 -0.094 1.898
H 0.000 0.000 0.000
Sr -5.979 -0.189 3.796
Sr -8.969 -0.283 5.694

! Tl2CrTcC (meta-GGA SCAN, single point on PBEsol structure); values from VASP
! Energy relative to the elements in eV per atom: 1.387
&SYSTEM
  ibrav = 0, nat = 5, ntyp = 4
/
ATOMIC_SPECIES
Tl 204.38 Tl.upf
C 12.01 C.upf
Cr 52.00 Cr.upf
Tc 98.00 Tc.upf
CELL_PARAMETERS angstrom
3.610 0.000 0.000
0.000 5.122 0.000
0.000 0.000 5.122
ATOMIC_POSITIONS angstrom
Tl 0.000 2.561 0.000
Tl 0.000 0.000 2.561
C 1.805 0.000 0.000
Cr 0.000 0.000 0.000
Tc 1.805 2.561 2.561

! Ca2Mg2Tl (meta-GGA SCAN, single point on PBEsol structure); values from VASP
! Energy relative to the elements in eV per atom: -0.101
&SYSTEM
  ibrav = 0, nat = 5, ntyp = 3
/
ATOMIC_SPECIES
Ca 40.08 Ca.upf
Mg 24.30 Mg.upf
Tl 204.38 Tl.upf
CELL_PARAMETERS angstrom
4.021 0.000 0.000
0.000 4.021 0.000
-2.011 -2.011 9.409
ATOMIC_POSITIONS angstrom
Ca 0.000 0.000 7.614
Ca 2.011 2.011 1.795
Mg 0.000 2.011 4.705
Mg 2.011 0.000 4.705
Tl 0.000 0.000 0.000

! Tc2Rh (meta-GGA SCAN, single point on PBEsol structure); values from VASP
! Energy relative to the elements in eV per atom: -0.143
! E above lowest polymorph in eV per atom: 0.001
&SYSTEM
  ibrav = 0, nat = 6, ntyp = 2
/
ATOMIC_SPECIES
Rh 102.91 Rh.upf
Tc 98.00 Tc.upf
CELL_PARAMETERS angstrom
-1.543 -2.208 -0.158
4.693 -1.542 -1.226
-0.065 -0.410 6.374
ATOMIC_POSITIONS angstrom
Rh 0.522 -2.130 1.629
Rh 3.078 -4.154 4.976
Tc 0.902 -2.662 5.363
Tc 3.039 -2.177 0.759
Tc 0.403 -0.550 3.753
Tc 2.567 -2.034 3.366